CoP4O12: PBEsol geometry, meta-GGA SCAN.

POSCAR file:
```
CoP4O12
1.0
4.971 -0.226 0.000
-1.222 7.203 0.000
0.000 0.000 13.101
O P Co
24 8 2
direct
0.299 0.496 0.146
0.628 0.759 0.782
0.633 0.880 0.078
0.951 0.232 0.652
0.380 0.253 0.760
0.197 0.553 0.339
0.212 0.564 0.694
0.055 0.482 0.518
0.367 0.120 0.578
0.845 0.064 0.876
0.049 0.768 0.152
0.945 0.518 0.018
0.803 0.447 0.839
0.936 0.224 0.389
0.788 0.436 0.194
0.312 0.505 0.892
0.688 0.495 0.392
0.922 0.057 0.222
0.701 0.504 0.646
0.155 0.936 0.376
0.064 0.776 0.889
0.078 0.943 0.722
0.372 0.241 0.282
0.620 0.747 0.260
0.035 0.558 0.902
0.965 0.442 0.402
0.783 0.862 0.172
0.024 0.551 0.134
0.884 0.896 0.822
0.217 0.138 0.672
0.116 0.104 0.322
0.976 0.449 0.634
0.493 0.495 0.269
0.507 0.505 0.769
```

SG   No. 4
Polymorph energy (0 for the lowest one)   0.00 kJ per mole of atoms
Formation energy without anion corrections   -2.034 eV/atom

CoP4O12: PBEsol geometry, meta-GGA SCAN.

POSCAR file:
```
CoP4O12
1.0
8.513 0.000 0.000
0.000 8.613 0.000
0.000 0.000 12.331
O P Co
48 16 4
direct
0.624 0.905 0.750
0.376 0.095 0.250
0.876 0.095 0.250
0.128 0.530 0.692
0.110 0.139 0.879
0.376 0.405 0.750
0.390 0.639 0.621
0.863 0.629 0.625
0.872 0.030 0.692
0.032 0.632 0.442
0.363 0.871 0.125
0.610 0.361 0.379
0.637 0.371 0.125
0.468 0.132 0.058
0.363 0.629 0.875
0.211 0.627 0.056
0.624 0.595 0.250
0.890 0.861 0.121
0.637 0.129 0.875
0.628 0.530 0.808
0.137 0.371 0.375
0.876 0.405 0.750
0.468 0.368 0.942
0.968 0.368 0.558
0.372 0.470 0.192
0.124 0.595 0.250
0.863 0.871 0.375
0.390 0.861 0.379
0.789 0.127 0.056
0.628 0.970 0.192
0.128 0.970 0.308
0.289 0.127 0.444
0.372 0.030 0.808
0.032 0.868 0.558
0.289 0.373 0.556
0.610 0.139 0.621
0.968 0.132 0.442
0.789 0.373 0.944
0.532 0.868 0.942
0.211 0.873 0.944
0.711 0.627 0.444
0.110 0.361 0.121
0.711 0.873 0.556
0.124 0.905 0.750
0.890 0.639 0.879
0.532 0.632 0.058
0.872 0.470 0.308
0.137 0.129 0.625
0.803 0.004 0.145
0.697 0.504 0.355
0.959 0.485 0.650
0.459 0.485 0.850
0.303 0.004 0.355
0.803 0.496 0.855
0.541 0.515 0.150
0.041 0.985 0.650
0.197 0.504 0.145
0.959 0.015 0.350
0.541 0.985 0.850
0.303 0.496 0.645
0.697 0.996 0.645
0.041 0.515 0.350
0.459 0.015 0.150
0.197 0.996 0.855
0.368 0.750 0.000
0.632 0.250 0.000
0.132 0.250 0.500
0.868 0.750 0.500
```

SG   No. 60
Polymorph energy (0 for the lowest one)   0.69 kJ per mole of atoms
Formation energy without anion corrections   -2.026 eV/atom

CoP2O7: PBEsol geometry, meta-GGA SCAN.

POSCAR file:
```
CoP2O7
1.0
-2.340 5.171 3.563
-4.275 -4.773 4.119
7.450 -3.201 4.025
O Co P
28 4 8
direct
0.522 0.252 0.612
0.084 0.684 0.593
0.847 0.048 0.150
0.153 0.952 0.850
0.099 0.894 0.368
0.229 0.120 0.203
0.099 0.606 0.868
0.476 0.917 0.130
0.608 0.089 0.377
0.916 0.316 0.407
0.916 0.184 0.907
0.478 0.748 0.388
0.524 0.417 0.370
0.771 0.620 0.297
0.847 0.452 0.650
0.476 0.583 0.630
0.229 0.380 0.703
0.522 0.248 0.112
0.478 0.752 0.888
0.608 0.411 0.877
0.084 0.816 0.093
0.524 0.083 0.870
0.901 0.394 0.132
0.771 0.880 0.797
0.392 0.589 0.123
0.392 0.911 0.623
0.153 0.548 0.350
0.901 0.106 0.632
0.722 0.276 0.508
0.278 0.776 0.992
0.722 0.224 0.008
0.278 0.724 0.492
0.933 0.036 0.796
0.531 0.904 0.794
0.469 0.404 0.706
0.067 0.536 0.704
0.531 0.596 0.294
0.933 0.464 0.296
0.067 0.964 0.204
0.469 0.096 0.206
```

SG   No. 14
Polymorph energy (0 for the lowest one)   0.33 kJ per mole of atoms
Formation energy without anion corrections   -1.916 eV/atom

Co3P4O14: PBEsol geometry, meta-GGA SCAN.

POSCAR file:
```
Co3P4O14
1.0
5.845 -0.391 0.249
1.676 6.449 -0.310
2.356 0.602 7.408
O P Co
14 4 3
direct
0.628 0.302 0.779
0.641 0.686 0.887
0.791 0.479 0.127
0.485 0.686 0.590
0.359 0.314 0.113
0.085 0.598 0.590
0.750 0.861 0.118
0.515 0.314 0.410
0.069 0.879 0.784
0.915 0.402 0.410
0.209 0.521 0.873
0.931 0.121 0.216
0.372 0.698 0.221
0.250 0.139 0.882
0.782 0.320 0.296
0.218 0.680 0.704
0.368 0.310 0.918
0.632 0.690 0.082
0.751 0.539 0.662
0.249 0.461 0.338
0.000 0.000 0.000
```

SG   No. 2
Formation energy without anion corrections   -1.964 eV/atom

Co3P4O16: PBEsol geometry, meta-GGA SCAN.

POSCAR file:
```
Co3P4O16
1.0
4.703 0.000 0.000
0.000 7.501 -0.059
0.000 -2.155 14.576
O P Co
32 8 6
direct
0.576 0.004 0.706
0.819 0.926 0.389
0.323 0.888 0.450
0.924 0.504 0.206
0.181 0.074 0.611
0.995 0.205 0.294
0.823 0.612 0.050
0.047 0.510 0.609
0.547 0.641 0.621
0.953 0.490 0.391
0.495 0.295 0.206
0.500 0.325 0.687
0.500 0.675 0.313
0.896 0.781 0.533
0.047 0.859 0.879
0.076 0.496 0.794
0.604 0.281 0.033
0.177 0.388 0.950
0.396 0.719 0.967
0.677 0.112 0.550
0.953 0.141 0.121
0.424 0.996 0.294
0.547 0.990 0.891
0.505 0.705 0.794
0.000 0.175 0.813
0.453 0.359 0.379
0.104 0.219 0.467
0.453 0.010 0.109
0.005 0.795 0.706
0.319 0.574 0.111
0.000 0.825 0.187
0.681 0.426 0.889
0.366 0.815 0.883
0.509 0.871 0.363
0.866 0.685 0.616
0.491 0.129 0.637
0.134 0.315 0.384
0.009 0.629 0.137
0.634 0.185 0.117
0.991 0.371 0.863
0.000 0.000 0.500
0.179 0.049 0.205
0.500 0.500 0.000
0.679 0.451 0.295
0.321 0.549 0.705
0.821 0.951 0.795
```

SG   No. 14
Formation energy without anion corrections   -1.744 eV/atom

CoPO4: PBEsol geometry, meta-GGA SCAN.

POSCAR file:
```
CoPO4
1.0
-1.348 -3.243 -3.031
3.434 -1.530 2.719
-4.233 -2.121 4.152
O P Co
8 2 2
direct
0.710 0.781 0.250
0.219 0.290 0.250
0.763 0.237 0.952
0.781 0.710 0.750
0.237 0.763 0.048
0.290 0.219 0.750
0.237 0.763 0.452
0.763 0.237 0.548
0.651 0.349 0.750
0.349 0.651 0.250
0.000 0.000 0.000
0.000 0.000 0.500
```

SG   No. 63
Formation energy without anion corrections   -1.918 eV/atom

Co2P5O16: PBEsol geometry, meta-GGA SCAN.

POSCAR file:
```
Co2P5O16
1.0
-1.606 -4.040 2.066
5.114 -3.283 -2.444
9.865 4.325 14.830
O Co P
32 4 10
direct
0.853 0.879 0.193
0.230 0.315 0.130
0.230 0.685 0.630
0.211 0.402 0.713
0.928 0.337 0.922
0.565 0.974 0.387
0.580 0.584 0.118
0.420 0.416 0.882
0.928 0.663 0.422
0.072 0.663 0.078
0.646 0.217 0.497
0.853 0.121 0.693
0.354 0.783 0.503
0.061 0.940 0.932
0.072 0.337 0.578
0.939 0.940 0.568
0.789 0.598 0.287
0.770 0.315 0.370
0.211 0.598 0.213
0.789 0.402 0.787
0.354 0.217 0.003
0.061 0.060 0.432
0.435 0.974 0.113
0.420 0.584 0.382
0.580 0.416 0.618
0.435 0.026 0.613
0.939 0.060 0.068
0.147 0.121 0.807
0.770 0.685 0.870
0.646 0.783 0.997
0.147 0.879 0.307
0.565 0.026 0.887
0.757 0.827 0.094
0.243 0.173 0.906
0.757 0.173 0.594
0.243 0.827 0.406
0.755 0.126 0.427
0.755 0.874 0.927
0.273 0.447 0.630
0.245 0.126 0.073
0.727 0.447 0.870
0.000 0.752 0.250
0.727 0.553 0.370
0.000 0.248 0.750
0.245 0.874 0.573
0.273 0.553 0.130
```

SG   No. 13
Formation energy without anion corrections   -2.078 eV/atom

Co3P4PbO14: PBEsol geometry, meta-GGA SCAN.

POSCAR file:
```
Co3P4PbO14
1.0
7.456 0.000 -0.013
0.000 7.685 0.000
-3.542 0.000 8.785
O Co P Pb
28 6 8 2
direct
0.525 0.576 0.389
0.896 0.983 0.187
0.651 0.621 0.888
0.498 0.711 0.133
0.875 0.178 0.919
0.651 0.879 0.388
0.875 0.322 0.419
0.772 0.116 0.636
0.104 0.483 0.313
0.475 0.424 0.611
0.183 0.132 0.177
0.349 0.379 0.112
0.475 0.076 0.111
0.817 0.632 0.323
0.525 0.924 0.889
0.125 0.678 0.581
0.817 0.868 0.823
0.498 0.789 0.633
0.104 0.017 0.813
0.502 0.211 0.367
0.349 0.121 0.612
0.896 0.517 0.687
0.772 0.384 0.136
0.183 0.368 0.677
0.502 0.289 0.867
0.125 0.822 0.081
0.228 0.616 0.864
0.228 0.884 0.364
0.500 0.000 0.500
0.318 0.872 0.974
0.318 0.628 0.474
0.500 0.500 0.000
0.682 0.128 0.026
0.682 0.372 0.526
0.102 0.943 0.199
0.898 0.057 0.801
0.898 0.443 0.301
0.391 0.296 0.693
0.609 0.704 0.307
0.391 0.204 0.193
0.609 0.796 0.807
0.102 0.557 0.699
0.000 0.500 0.000
0.000 0.000 0.500
```

SG   No. 14
Formation energy without anion corrections   -2.096 eV/atom

In the order shown, the computed total DFT energy (no corrections) values come out to -9.90 -9.89 -10.09 -10.57 -10.14 -10.69 -10.18 -13.76 eV per atom.